Entry 1:
The following is a GGA-PBE calculation of BaTcP2O after structural relaxation, from Alexandria via LeMat-Bulk.

The calculation puts the energy above the most stable polymorph in this dataset at 2296 meV/atom. The calculation puts the uncorrected formation energy at 164 kJ/mol of atoms.

It has space group P4/mmm (No. 123), with a = 5.489 Å, b = 5.489 Å, c = 4.209 Å, α = 90.00°, β = 90.00° and γ = 90.00°. The inequivalent atoms are Ba at (0.000, 0.000, 0.000), Tc at (0.500, 0.500, 0.500), P at (0.000, 0.500, 0.000) and O at (0.000, 0.000, 0.500).


Entry 2:
The following is a GGA-PBE calculation of SrCa2 after structural relaxation, from Alexandria via LeMat-Bulk.

The formation enthalpy at 0 K comes out at 0.01 eV/atom. The calculation puts the energy above the most stable polymorph in this dataset at 0 meV/atom.

It has space group P4/nmm (No. 129, origin choice 2), with a = 4.047 Å, b = 4.047 Å, c = 16.863 Å, α = 90.00°, β = 90.00° and γ = 90.00°. The inequivalent atoms are Sr at (0.250, 0.250, 0.095), Ca at (0.250, 0.250, 0.423) and Ca at (0.250, 0.250, 0.732).


Entry 3:
The following is a GGA-PBE calculation of Mg2PaSi2Os after structural relaxation, from Alexandria via LeMat-Bulk.

The calculation puts the uncorrected formation energy at 51 kJ/mol of atoms.

It has space group I4/mmm (No. 139), with a = 4.967 Å, b = 4.967 Å, c = 10.384 Å, α = 90.00°, β = 90.00° and γ = 90.00°. The inequivalent atoms are Mg at (0.000, 0.500, 0.250), Pa at (0.000, 0.000, 0.000), Si at (0.000, 0.000, 0.280) and Os at (0.000, 0.000, 0.500).


Number 1: Fermi-level density of states 1.60 states/eV per atom. Number 2: Fermi-level density of states 1.44 states/eV per atom. Number 3: Fermi-level density of states 1.26 states/eV per atom.